No. 1
Computed, not measured: a relaxed structure of PmVCo2 at the PBE level of DFT.

Cell and atoms, written as CIF:
```
data_PmVCo2
_space_group_name_H-M_alt 'P 4/m m m'
_space_group_IT_number 123
_space_group_name_Hall '-P 4 2'
_cell_length_a 2.977
_cell_length_b 2.977
_cell_length_c 6.994
_cell_angle_alpha 90.00
_cell_angle_beta 90.00
_cell_angle_gamma 90.00
loop_
_atom_site_label
_atom_site_type_symbol
_atom_site_fract_x
_atom_site_fract_y
_atom_site_fract_z
Pm1 Pm 0.000 0.000 0.000
V1 V 0.000 0.000 0.500
Co1 Co 0.500 0.500 0.317
```

Calculated formation energy, meV/atom: 17
Total DFT energy (no corrections), eV per cell: -28.01
D(E_F), states/eV per atom: 0.84

---

No. 2
Computed, not measured: a relaxed structure of Li4Ga at the PBE level of DFT.

Cell and atoms, written as CIF:
```
data_Li4Ga
_space_group_name_H-M_alt 'C 1 2/m 1'
_space_group_IT_number 12
_cell_length_a 7.945
_cell_length_b 4.496
_cell_length_c 5.357
_cell_angle_alpha 90.00
_cell_angle_beta 120.48
_cell_angle_gamma 90.00
loop_
_space_group_symop_operation_xyz
'x,y,z'
'-x,-y,-z'
'-x,y,-z'
'x,-y,z'
'x+1/2,y+1/2,z'
'-x+1/2,-y+1/2,-z'
'-x+1/2,y+1/2,-z'
'x+1/2,-y+1/2,z'
loop_
_atom_site_label
_atom_site_type_symbol
_atom_site_fract_x
_atom_site_fract_y
_atom_site_fract_z
Li1 Li 0.108 0.000 0.322
Li2 Li 0.202 0.500 0.103
Ga1 Ga 0.000 0.500 0.500
```

Calculated formation energy, meV/atom: -181
Total DFT energy (no corrections), eV per cell: -23.17
D(E_F), states/eV per atom: 0.36

---

No. 3
Computed, not measured: a relaxed structure of LaAg4 at the PBE level of DFT.

Cell and atoms, written as CIF:
```
data_LaAg4
_space_group_name_H-M_alt 'R -3 m'
_space_group_IT_number 166
_space_group_name_Hall '-R 3 2"'
_cell_length_a 3.1843
_cell_length_b 3.1843
_cell_length_c 36.5467
_cell_angle_alpha 90.00
_cell_angle_beta 90.00
_cell_angle_gamma 120.00
loop_
_atom_site_label
_atom_site_type_symbol
_atom_site_fract_x
_atom_site_fract_y
_atom_site_fract_z
La1 La 0.0000 0.0000 0.0000
Ag1 Ag 0.0000 0.0000 0.1966
Ag2 Ag 0.0000 0.0000 0.4089
```

Calculated formation energy, meV/atom: 127
Total DFT energy (no corrections), eV per cell: -47.09
D(E_F), states/eV per atom: 0.64

---

No. 4
Computed, not measured: a relaxed structure of CeGdBiAu at the PBE level of DFT.

Cell and atoms, written as CIF:
```
data_CeGdBiAu
_space_group_name_H-M_alt 'F -4 3 m'
_space_group_IT_number 216
_space_group_name_Hall 'F -4 2 3'
_cell_length_a 7.618
_cell_length_b 7.618
_cell_length_c 7.618
_cell_angle_alpha 90.00
_cell_angle_beta 90.00
_cell_angle_gamma 90.00
loop_
_atom_site_label
_atom_site_type_symbol
_atom_site_fract_x
_atom_site_fract_y
_atom_site_fract_z
Ce1 Ce 0.000 0.000 0.000
Gd1 Gd 0.000 0.000 0.500
Bi1 Bi 0.250 0.250 0.750
Au1 Au 0.250 0.250 0.250
```

Calculated formation energy, meV/atom: -652
Total DFT energy (no corrections), eV per cell: -119.13
D(E_F), states/eV per atom: 2.89

---

No. 5
Computed, not measured: a relaxed structure of InTcCl2 at the PBE level of DFT.

Cell and atoms, written as CIF:
```
data_InTcCl2
_space_group_name_H-M_alt 'I -4 2 d'
_space_group_IT_number 122
_space_group_name_Hall 'I -4 2bw'
_cell_length_a 8.045
_cell_length_b 8.045
_cell_length_c 5.583
_cell_angle_alpha 90.00
_cell_angle_beta 90.00
_cell_angle_gamma 90.00
loop_
_atom_site_label
_atom_site_type_symbol
_atom_site_fract_x
_atom_site_fract_y
_atom_site_fract_z
In1 In 0.000 0.000 0.000
Tc1 Tc 0.000 0.000 0.500
Cl1 Cl 0.133 0.250 0.625
```

Formation energy without anion corrections, eV per atom: -0.015
Total DFT energy (no corrections), eV per cell: -67.43
D(E_F), states/eV per atom: 1.42

---

No. 6
Computed, not measured: a relaxed structure of Ho8PbC4 at the PBE level of DFT.

Cell and atoms, written as CIF:
```
data_Ho8PbC4
_space_group_name_H-M_alt 'C 1 2/m 1'
_space_group_IT_number 12
_cell_length_a 17.387
_cell_length_b 3.622
_cell_length_c 11.886
_cell_angle_alpha 90.00
_cell_angle_beta 131.29
_cell_angle_gamma 90.00
loop_
_space_group_symop_operation_xyz
'x,y,z'
'-x,-y,-z'
'-x,y,-z'
'x,-y,z'
'x+1/2,y+1/2,z'
'-x+1/2,-y+1/2,-z'
'-x+1/2,y+1/2,-z'
'x+1/2,-y+1/2,z'
loop_
_atom_site_label
_atom_site_type_symbol
_atom_site_fract_x
_atom_site_fract_y
_atom_site_fract_z
Ho1 Ho 0.042 0.000 0.235
Ho2 Ho 0.133 0.500 0.090
Ho3 Ho 0.164 0.500 0.840
Ho4 Ho 0.203 0.500 0.566
Pb1 Pb 0.000 0.000 0.500
C1 C 0.149 0.000 0.963
C2 C 0.167 0.500 0.330
```

Calculated formation energy, meV/atom: -334
Total DFT energy (no corrections), eV per cell: -163.13
D(E_F), states/eV per atom: 0.77

---

No. 7
Computed, not measured: a relaxed structure of FeAsIr at the PBE level of DFT.

Cell and atoms, written as CIF:
```
data_FeAsIr
_space_group_name_H-M_alt 'C 1 c 1'
_space_group_IT_number 9
_cell_length_a 5.062
_cell_length_b 9.201
_cell_length_c 4.001
_cell_angle_alpha 90.00
_cell_angle_beta 108.81
_cell_angle_gamma 90.00
loop_
_space_group_symop_operation_xyz
'x,y,z'
'x,-y,z+1/2'
'x+1/2,y+1/2,z'
'x+1/2,-y+1/2,z+1/2'
loop_
_atom_site_label
_atom_site_type_symbol
_atom_site_fract_x
_atom_site_fract_y
_atom_site_fract_z
Fe1 Fe 0.000 0.082 0.000
As1 As 0.312 0.165 0.706
Ir1 Ir 0.097 0.394 0.827
```

Calculated formation energy, meV/atom: 13
Total DFT energy (no corrections), eV per cell: -87.74
D(E_F), states/eV per atom: 0.63

---

No. 8
Computed, not measured: a relaxed structure of Tl2CdCl at the PBE level of DFT.

Cell and atoms, written as CIF:
```
data_Tl2CdCl
_space_group_name_H-M_alt 'P 1 2/m 1'
_space_group_IT_number 10
_cell_length_a 4.064
_cell_length_b 4.214
_cell_length_c 6.890
_cell_angle_alpha 90.00
_cell_angle_beta 90.21
_cell_angle_gamma 90.00
loop_
_space_group_symop_operation_xyz
'x,y,z'
'-x,-y,-z'
'-x,y,-z'
'x,-y,z'
loop_
_atom_site_label
_atom_site_type_symbol
_atom_site_fract_x
_atom_site_fract_y
_atom_site_fract_z
Tl1 Tl 0.002 0.000 0.261
Cd1 Cd 0.500 0.500 0.000
Cl1 Cl 0.500 0.500 0.500
```

Formation energy without anion corrections, eV per atom: -0.329
Total DFT energy (no corrections), eV per cell: -8.81
D(E_F), states/eV per atom: 0.30

---

No. 9
Computed, not measured: a relaxed structure of Pr4InBiTe2 at the PBE level of DFT.

Cell and atoms, written as CIF:
```
data_Pr4InBiTe2
_space_group_name_H-M_alt 'P 1 2/m 1'
_space_group_IT_number 10
_cell_length_a 7.968
_cell_length_b 4.499
_cell_length_c 7.973
_cell_angle_alpha 90.00
_cell_angle_beta 108.71
_cell_angle_gamma 90.00
loop_
_space_group_symop_operation_xyz
'x,y,z'
'-x,-y,-z'
'-x,y,-z'
'x,-y,z'
loop_
_atom_site_label
_atom_site_type_symbol
_atom_site_fract_x
_atom_site_fract_y
_atom_site_fract_z
Pr1 Pr 0.246 0.000 0.252
Pr2 Pr 0.249 0.500 0.748
In1 In 0.000 0.000 0.500
Bi1 Bi 0.000 0.500 0.000
Te1 Te 0.500 0.000 0.000
Te2 Te 0.500 0.500 0.500
```

Formation energy without anion corrections, eV per atom: -1.070
Total DFT energy (no corrections), eV per cell: -40.58
D(E_F), states/eV per atom: 0.33

---

No. 10
Computed, not measured: a relaxed structure of Pu2Fe2Si at the PBE level of DFT.

Cell and atoms, written as CIF:
```
data_Pu2Fe2Si
_space_group_name_H-M_alt 'P 4/m b m'
_space_group_IT_number 127
_space_group_name_Hall '-P 4 2ab'
_cell_length_a 6.743
_cell_length_b 6.743
_cell_length_c 3.764
_cell_angle_alpha 90.00
_cell_angle_beta 90.00
_cell_angle_gamma 90.00
loop_
_atom_site_label
_atom_site_type_symbol
_atom_site_fract_x
_atom_site_fract_y
_atom_site_fract_z
Pu1 Pu 0.177 0.323 0.000
Fe1 Fe 0.139 0.639 0.500
Si1 Si 0.000 0.000 0.500
```

Formation energy without anion corrections, eV per atom: -0.206
Total DFT energy (no corrections), eV per cell: -104.08
D(E_F), states/eV per atom: 2.42

---

No. 11
Computed, not measured: a relaxed structure of Ca2TlPb at the PBE level of DFT.

Cell and atoms, written as CIF:
```
data_Ca2TlPb
_space_group_name_H-M_alt 'I -4 m 2'
_space_group_IT_number 119
_space_group_name_Hall 'I -4 -2'
_cell_length_a 4.762
_cell_length_b 4.762
_cell_length_c 10.849
_cell_angle_alpha 90.00
_cell_angle_beta 90.00
_cell_angle_gamma 90.00
loop_
_atom_site_label
_atom_site_type_symbol
_atom_site_fract_x
_atom_site_fract_y
_atom_site_fract_z
Ca1 Ca 0.000 0.000 0.000
Ca2 Ca 0.000 0.500 0.250
Tl1 Tl 0.000 0.000 0.500
Pb1 Pb 0.000 0.500 0.750
```

Calculated formation energy, meV/atom: -360
Total DFT energy (no corrections), eV per cell: -23.03
D(E_F), states/eV per atom: 0.70

---

total DFT energy (no corrections) of number 3 (LaAg4)?
-47.09 eV per cell

---

Number 11 is which compound?
Ca2TlPb

---

Which value of D(E_F) does entry 11 give?
0.70 states/eV per atom